i) ## Li2GaHIr (GGA-PBE)

Data for a relaxed structure of Li2GaHIr.

Results
* crystal system: tetragonal
* M_tot: 0.00 μB per atom
* DOS at the Fermi energy: 1.4 states/eV per cell

Cell: 3.7502 3.7502 3.9695 Å, 90.00 90.00 90.00°
Space group P4/mmm (No. 123)
Asymmetric unit:
Li1 0.0000 0.5000 0.0000 (multiplicity 2)
Ga1 0.0000 0.0000 0.5000 (multiplicity 1)
H1 0.5000 0.5000 0.0000 (multiplicity 1)
Ir1 0.5000 0.5000 0.5000 (multiplicity 1)

ii) ## Li2GaHIr (GGA-PBE)

Data for a relaxed structure of Li2GaHIr.

Results
* crystal system: tetragonal
* M_tot: 0.00 μB per atom
* DOS at the Fermi energy: 1.8 states/eV per cell

Cell: 3.6215 3.6215 4.3874 Å, 90.00 90.00 90.00°
Space group P4/mmm (No. 123)
Asymmetric unit:
Li1 0.0000 0.5000 0.0000 (multiplicity 2)
Ga1 0.0000 0.0000 0.5000 (multiplicity 1)
H1 0.0000 0.0000 0.0000 (multiplicity 1)
Ir1 0.5000 0.5000 0.5000 (multiplicity 1)

The least stable of the structures above is ii), whereas i) is the most stable.